Record 1
5
Lattice="4.4175 0.0000 0.0000 0.0000 4.4175 0.0000 0.0000 0.0000 4.2614" Properties=species:S:1:pos:R:3 comment="BS2BrCl PBE-GGA relaxed" volume_a3_per_atom=16.63 dos_at_fermi_per_ev_atom=0.69 space_group=P4/mmm de_polymorph_ev_per_atom=0.000 e_form_raw_ev_per_atom=0.838 pbc="T T T"
B 0.0000 0.0000 0.0000
S 0.0000 2.2087 0.0000
S 2.2087 0.0000 0.0000
Br 2.2087 2.2087 2.1307
Cl 0.0000 0.0000 2.1307

---

Record 2
13
Lattice="9.3056 0.0000 0.0000 0.0000 5.3069 0.0000 -3.2948 0.0000 8.7342" Properties=species:S:1:pos:R:3 comment="Sr8Ag2Rh3 PBE-GGA relaxed" volume_a3_per_atom=33.18 dos_at_fermi_per_ev_atom=0.55 space_group=P2/m formation_energy_mev_per_atom=-180 pbc="T T T"
Sr -0.2147 0.0000 3.3753
Sr -1.6306 2.6535 7.4967
Sr 1.2645 2.6535 5.4911
Sr 3.1850 0.0000 1.0158
Sr 2.8258 0.0000 7.7183
Sr 4.7463 2.6535 3.2431
Sr 7.6415 2.6535 1.2375
Sr 6.2255 0.0000 5.3588
Ag 1.5098 2.6535 2.1790
Ag 4.5010 2.6535 6.5551
Rh -1.6474 2.6535 4.3671
Rh -0.1325 0.0000 6.5672
Rh 6.1433 0.0000 2.1670

---

Record 3
4
Lattice="2.9698 0.0000 0.0000 0.0000 3.9346 0.0000 -0.0462 0.0000 5.5167" Properties=species:S:1:pos:R:3 comment="MnRe2Sb PBE-GGA relaxed" volume_a3_per_atom=16.12 dos_at_fermi_per_ev_atom=0.91 space_group=Pm e_form_raw_ev_per_atom=0.374 pbc="T T T"
Mn 0.0000 0.0000 0.0000
Re 0.0151 0.0000 2.9854
Re 1.4460 1.9673 4.1437
Sb 1.4891 1.9673 1.3764

---

Record 4
5
Lattice="4.6158 0.0000 0.0000 0.0000 4.6158 0.0000 0.0000 0.0000 4.6158" Properties=species:S:1:pos:R:3 comment="Re3SnBr PBE-GGA relaxed" volume_a3_per_atom=19.67 dos_at_fermi_per_ev_atom=1.06 space_group=Pm-3m de_polymorph_ev_per_atom=0.000 e_form_raw_ev_per_atom=2.283 pbc="T T T"
Re 0.0000 0.0000 2.3079
Re 0.0000 2.3079 0.0000
Re 2.3079 0.0000 0.0000
Sn 2.3079 2.3079 2.3079
Br 0.0000 0.0000 0.0000

---

Record 5
5
Lattice="3.8816 0.0000 0.0000 0.0000 3.8816 0.0000 0.0000 0.0000 4.2452" Properties=species:S:1:pos:R:3 comment="Mn2NbRhN PBE-GGA relaxed" volume_a3_per_atom=12.79 dos_at_fermi_per_ev_atom=0.77 space_group=P4/mmm e_form_raw_ev_per_atom=-0.378 pbc="T T T"
Mn 0.0000 1.9408 0.0000
Mn 1.9408 0.0000 0.0000
Nb 0.0000 0.0000 2.1226
Rh 1.9408 1.9408 2.1226
N 0.0000 0.0000 0.0000

---

Record 6
11
Lattice="3.9127 -5.4907 0.0000 3.9127 5.4907 0.0000 0.0000 0.0000 7.2670" Properties=species:S:1:pos:R:3 comment="Sm7Cu2Pt2 PBE-GGA relaxed" volume_a3_per_atom=28.39 dos_at_fermi_per_ev_atom=1.24 space_group=Cmmm formation_energy_mev_per_atom=-312 pbc="T T T"
Sm 0.0000 0.0000 0.0000
Sm 1.9563 2.7454 1.9574
Sm 1.9563 2.7454 5.3096
Sm 1.9563 -2.7454 1.9574
Sm 1.9563 -2.7454 5.3096
Sm 3.9127 0.0000 1.9097
Sm 3.9127 0.0000 5.3573
Cu 1.3255 0.0000 3.6335
Cu 6.4999 0.0000 3.6335
Pt 3.9127 2.3061 0.0000
Pt 3.9127 -2.3061 0.0000

---

Record 7
10
Lattice="5.0562 0.0000 0.0000 -2.5281 4.3788 0.0000 0.0000 0.0000 12.7214" Properties=species:S:1:pos:R:3 comment="Dy2CdPb2 PBE-GGA relaxed" volume_a3_per_atom=28.17 dos_at_fermi_per_ev_atom=0.43 space_group=P6_3/mmc formation_energy_mev_per_atom=-329 pbc="T T T"
Dy 0.0000 2.9192 1.2962
Dy 0.0000 2.9192 5.0645
Dy 2.5281 1.4596 7.6569
Dy 2.5281 1.4596 11.4252
Cd 0.0000 0.0000 3.1803
Cd 0.0000 0.0000 9.5410
Pb 0.0000 0.0000 0.0000
Pb 0.0000 0.0000 6.3607
Pb 0.0000 2.9192 9.5410
Pb 2.5281 1.4596 3.1803

---

Record 8
16
Lattice="6.9685 0.0000 0.0000 0.0000 6.9685 0.0000 0.0000 0.0000 6.9685" Properties=species:S:1:pos:R:3 comment="TeAsAu2 PBE-GGA relaxed" volume_a3_per_atom=21.15 dos_at_fermi_per_ev_atom=0.45 space_group=F-43m de_polymorph_ev_per_atom=0.355 e_form_raw_ev_per_atom=0.368 pbc="T T T"
Te 0.0000 0.0000 0.0000
Te 0.0000 3.4842 3.4842
Te 3.4842 0.0000 3.4842
Te 3.4842 3.4842 0.0000
As 1.7421 1.7421 1.7421
As 1.7421 5.2264 5.2264
As 5.2264 1.7421 5.2264
As 5.2264 5.2264 1.7421
Au 0.0000 0.0000 3.4842
Au 0.0000 3.4842 0.0000
Au 1.7421 1.7421 5.2264
Au 1.7421 5.2264 1.7421
Au 3.4842 0.0000 0.0000
Au 3.4842 3.4842 3.4842
Au 5.2264 1.7421 1.7421
Au 5.2264 5.2264 5.2264

---

Record 9
18
Lattice="3.4662 2.0012 6.5850 -3.4662 2.0012 6.5850 0.0000 -4.0024 6.5850" Properties=species:S:1:pos:R:3 comment="Ba2TbCu3F12 PBE-GGA relaxed" volume_a3_per_atom=15.23 dos_at_fermi_per_ev_atom=0.32 space_group=R-3m e_form_raw_ev_per_atom=-2.756 pbc="T T T"
Ba 0.0000 0.0000 2.2693
Ba 0.0000 0.0000 17.4855
Tb 0.0000 0.0000 9.8774
Cu -1.7331 -1.0006 6.5850
Cu -1.7331 1.0006 13.1699
Cu 0.0000 2.0012 6.5850
F -1.8549 -1.0709 9.0864
F 0.0000 -1.6734 7.2502
F -1.4492 0.8367 7.2502
F -1.4492 -0.8367 12.5047
F 0.0000 -2.1419 10.6685
F -1.8549 1.0709 10.6685
F 1.8549 -1.0709 9.0864
F 0.0000 2.1419 9.0864
F 1.4492 0.8367 7.2502
F 1.4492 -0.8367 12.5047
F 0.0000 1.6734 12.5047
F 1.8549 1.0709 10.6685

---

Record 10
5
Lattice="3.9283 0.0000 0.0000 0.0000 3.9283 0.0000 0.0000 0.0000 3.9283" Properties=species:S:1:pos:R:3 comment="Be3CoSi PBE-GGA relaxed" volume_a3_per_atom=12.12 dos_at_fermi_per_ev_atom=0.31 space_group=Pm-3m de_polymorph_ev_per_atom=0.489 e_form_raw_ev_per_atom=0.649 pbc="T T T"
Be 0.0000 0.0000 1.9641
Be 0.0000 1.9641 0.0000
Be 1.9641 0.0000 0.0000
Co 0.0000 0.0000 0.0000
Si 1.9641 1.9641 1.9641

---

Record 11
9
Lattice="0.0000 3.5402 3.5402 3.5402 0.0000 3.5402 3.5402 3.5402 0.0000" Properties=species:S:1:pos:R:3 comment="Pu2VH6 PBE-GGA relaxed" volume_a3_per_atom=9.86 dos_at_fermi_per_ev_atom=1.15 space_group=Fm-3m pbc="T T T"
Pu 1.7701 1.7701 1.7701
Pu 5.3102 5.3102 5.3102
V 0.0000 0.0000 0.0000
H 3.5402 3.5402 1.8112
H 3.5402 1.8112 3.5402
H 5.2691 3.5402 3.5402
H 1.8112 3.5402 3.5402
H 3.5402 5.2691 3.5402
H 3.5402 3.5402 5.2691

---

Record 12
12
Lattice="4.1822 0.0000 0.0000 0.0000 16.8882 0.0000 0.0000 0.0000 3.9424" Properties=species:S:1:pos:R:3 comment="HoHgGe PBE-GGA relaxed" volume_a3_per_atom=23.20 dos_at_fermi_per_ev_atom=0.48 space_group=Cmcm formation_energy_mev_per_atom=-509 pbc="T T T"
Ho 0.0000 1.5827 0.9856
Ho 0.0000 15.3055 2.9568
Ho 2.0911 6.8614 2.9568
Ho 2.0911 10.0268 0.9856
Hg 0.0000 4.7660 0.9856
Hg 0.0000 12.1222 2.9568
Hg 2.0911 3.6781 2.9568
Hg 2.0911 13.2101 0.9856
Ge 0.0000 7.5904 0.9856
Ge 0.0000 9.2979 2.9568
Ge 2.0911 0.8538 2.9568
Ge 2.0911 16.0345 0.9856

---

Table of uncorrected energy (eV/atom), in record order: -2.85; -3.35; -9.17; -6.32; -9.20; -5.16; -3.84; -3.22; -5.16; -4.09; -6.75; -3.68